Below is crystalline ZrMnO2 at its relaxed geometry, with properties calculated at the PBE+U level.

The theoretical density is 4.88 g/cm³. As for the energy above the most stable polymorph in this dataset: 208 meV/atom. As for the space group: I-42d. Its energy is -8.30 eV/atom.

Geometry as extended XYZ:
```
8
Lattice="-3.750 2.642 -1.832 0.171 -2.647 -4.167 -5.019 -3.248 -1.070" Properties=species:S:1:pos:R:3 pbc="T T T"
Mn -1.790 -0.003 -3.000
Mn -3.319 -2.949 -4.118
O -3.625 0.542 -1.957
O -1.569 -2.170 -3.078
O -5.108 -2.405 -2.999
O -6.894 -2.474 -6.105
Zr 0.000 0.000 0.000
Zr -5.279 -0.304 -2.951
```